i.
This record from Alexandria describes an optimized crystal structure of Zn2CdPb2. The functional is GGA-PBEsol.

CIF file:
```
data_Zn2CdPb2
_chemical_formula_sum 'Zn4 Cd2 Pb4'
_space_group_name_H-M_alt 'P 4/m b m'
_space_group_IT_number 127
_space_group_name_Hall '-P 4 2ab'
_cell_length_a 7.081
_cell_length_b 7.081
_cell_length_c 4.495
_cell_angle_alpha 90.00
_cell_angle_beta 90.00
_cell_angle_gamma 90.00
loop_
_atom_site_label
_atom_site_type_symbol
_atom_site_fract_x
_atom_site_fract_y
_atom_site_fract_z
Zn1 Zn 0.127 0.373 0.000
Cd1 Cd 0.000 0.000 0.000
Pb1 Pb 0.176 0.676 0.500
```

---

ii.
This record from Alexandria describes an optimized crystal structure of Zn2CdPb2. The functional is GGA-PBEsol.

CIF file:
```
data_Zn2CdPb2
_chemical_formula_sum 'Zn4 Cd2 Pb4'
_space_group_name_H-M_alt 'I 4/m m m'
_space_group_IT_number 139
_space_group_name_Hall '-I 4 2'
_cell_length_a 4.513
_cell_length_b 4.513
_cell_length_c 12.043
_cell_angle_alpha 90.00
_cell_angle_beta 90.00
_cell_angle_gamma 90.00
loop_
_atom_site_label
_atom_site_type_symbol
_atom_site_fract_x
_atom_site_fract_y
_atom_site_fract_z
Zn1 Zn 0.000 0.000 0.097
Cd1 Cd 0.000 0.000 0.500
Pb1 Pb 0.000 0.500 0.250
```

---

Which of them is most stable, and which least? Most stable: i; least stable: ii.

---

i.
This record from Alexandria describes an optimized crystal structure of Cd3PdSe. The functional is GGA-PBEsol.

CIF file:
```
data_Cd3PdSe
_chemical_formula_sum 'Cd3 Pd1 Se1'
_space_group_name_H-M_alt 'P m -3 m'
_space_group_IT_number 221
_space_group_name_Hall '-P 4 2 3'
_cell_length_a 5.136
_cell_length_b 5.136
_cell_length_c 5.136
_cell_angle_alpha 90.00
_cell_angle_beta 90.00
_cell_angle_gamma 90.00
loop_
_atom_site_label
_atom_site_type_symbol
_atom_site_fract_x
_atom_site_fract_y
_atom_site_fract_z
Cd1 Cd 0.000 0.000 0.500
Pd1 Pd 0.500 0.500 0.500
Se1 Se 0.000 0.000 0.000
```

---

ii.
This record from Alexandria describes an optimized crystal structure of Cd3PdSe. The functional is GGA-PBEsol.

CIF file:
```
data_Cd3PdSe
_chemical_formula_sum 'Cd3 Pd1 Se1'
_space_group_name_H-M_alt 'P m -3 m'
_space_group_IT_number 221
_space_group_name_Hall '-P 4 2 3'
_cell_length_a 5.039
_cell_length_b 5.039
_cell_length_c 5.039
_cell_angle_alpha 90.00
_cell_angle_beta 90.00
_cell_angle_gamma 90.00
loop_
_atom_site_label
_atom_site_type_symbol
_atom_site_fract_x
_atom_site_fract_y
_atom_site_fract_z
Cd1 Cd 0.000 0.000 0.500
Pd1 Pd 0.000 0.000 0.000
Se1 Se 0.500 0.500 0.500
```

---

Which of them is most stable, and which least? Most stable: ii; least stable: i.